Record 1
The following is a PBE calculation of crystalline CuP3 at its relaxed geometry, from Alexandria via LeMat-Bulk.

Cell and atoms, written as POSCAR:
```
CuP3
1.0
3.8520 0.0000 0.0000
0.0000 3.8520 0.0000
0.0000 0.0000 3.8520
P Cu
3 1
direct
0.5000 0.0000 0.5000
0.5000 0.5000 0.0000
0.0000 0.5000 0.5000
0.0000 0.0000 0.0000
```

ΔH_f (0 K) ... 692 meV/atom
Electronic total energy ... -4.389 eV/atom
Volume ... 57.2 Å³ per cell
Energy above the most stable polymorph in this dataset ... 531.4 meV per atom

=====

Record 2
The following is a PBE calculation of crystalline CuP at its relaxed geometry, from Alexandria via LeMat-Bulk.

Cell and atoms, written as POSCAR:
```
CuP
1.0
2.8826 0.0000 0.0000
0.0000 2.8826 0.0000
0.0000 0.0000 7.1477
P Cu
2 2
direct
0.0000 0.0000 0.2072
0.5000 0.5000 0.7072
0.5000 0.5000 0.3832
0.0000 0.0000 0.8832
```

ΔH_f (0 K) ... 146 meV/atom
Electronic total energy ... -4.607 eV/atom
Volume ... 59.4 Å³ per cell

=====

Record 3
The following is a PBE calculation of crystalline CuP at its relaxed geometry, from Alexandria via LeMat-Bulk.

Cell and atoms, written as POSCAR:
```
CuP
1.0
2.8367 0.0000 0.0000
0.0000 2.8472 0.0000
0.0000 0.0000 7.2548
Cu P
2 2
direct
0.0000 0.5000 0.2877
0.5000 0.0000 0.7877
0.0000 0.0000 0.5373
0.5000 0.5000 0.0373
```

ΔH_f (0 K) ... 127 meV/atom
Electronic total energy ... -4.626 eV/atom
Volume ... 58.6 Å³ per cell

=====

Record 4
The following is a PBE calculation of crystalline CuP at its relaxed geometry, from Alexandria via LeMat-Bulk.

Cell and atoms, written as POSCAR:
```
CuP
1.0
6.3886 0.0000 0.0000
0.0000 6.3886 0.0000
0.0000 0.0000 6.3886
Cu P
6 6
direct
0.0000 0.2500 0.5000
0.0000 0.7500 0.5000
0.5000 0.0000 0.2500
0.7500 0.5000 0.0000
0.5000 0.0000 0.7500
0.2500 0.5000 0.0000
0.5000 0.2500 0.0000
0.0000 0.5000 0.2500
0.5000 0.7500 0.0000
0.2500 0.0000 0.5000
0.7500 0.0000 0.5000
0.0000 0.5000 0.7500
```

ΔH_f (0 K) ... 344 meV/atom
Electronic total energy ... -4.409 eV/atom
Volume ... 260.7 Å³ per cell

=====

Record 5
The following is a PBE calculation of crystalline CuP at its relaxed geometry, from Alexandria via LeMat-Bulk.

Cell and atoms, written as POSCAR:
```
CuP
1.0
5.1994 0.0000 0.0000
0.0000 5.1994 0.0000
0.0000 0.0000 5.1994
Cu P
4 4
direct
0.5000 0.5000 0.0000
0.0000 0.5000 0.5000
0.0000 0.0000 0.0000
0.5000 0.0000 0.5000
0.2500 0.7500 0.7500
0.7500 0.7500 0.2500
0.7500 0.2500 0.7500
0.2500 0.2500 0.2500
```

ΔH_f (0 K) ... 277 meV/atom
Electronic total energy ... -4.476 eV/atom
Volume ... 140.6 Å³ per cell

=====

Record 6
The following is a PBE calculation of crystalline CuP2 at its relaxed geometry, from Alexandria via LeMat-Bulk.

Cell and atoms, written as POSCAR:
```
CuP2
1.0
4.8266 0.0000 0.0000
0.0000 5.8098 -0.0003
0.0000 2.8994 6.9586
P Cu
8 4
direct
0.8842 0.1738 0.4199
0.6158 0.6738 0.9199
0.2776 0.9525 0.8013
0.7776 0.5475 0.6987
0.3842 0.3262 0.0801
0.2224 0.4525 0.3013
0.7224 0.0475 0.1987
0.1158 0.8262 0.5801
0.5362 0.2720 0.5816
0.4638 0.7280 0.4184
0.0362 0.2280 0.9184
0.9638 0.7720 0.0816
```

ΔH_f (0 K) ... -114 meV/atom
Electronic total energy ... -5.086 eV/atom
Volume ... 195.1 Å³ per cell

=====

Record 7
The following is a PBE calculation of crystalline CuP at its relaxed geometry, from Alexandria via LeMat-Bulk.

Cell and atoms, written as POSCAR:
```
CuP
1.0
-8.3549 -2.3672 2.2559
1.3536 -8.1381 -3.5265
1.1300 -1.1175 3.0125
P Cu
8 8
direct
0.1776 0.6937 0.5000
0.6776 0.1937 0.0000
0.8224 0.3063 0.5000
0.3224 0.8063 0.0000
0.1937 0.3224 0.0000
0.6937 0.8224 0.5000
0.8063 0.6776 0.0000
0.3063 0.1776 0.5000
0.3019 0.5490 0.0000
0.6981 0.4510 0.0000
0.0490 0.1981 0.5000
0.8019 0.0490 0.5000
0.5490 0.6981 0.0000
0.1981 0.9510 0.5000
0.4510 0.3019 0.0000
0.9510 0.8019 0.5000
```

ΔH_f (0 K) ... 113 meV/atom
Electronic total energy ... -4.640 eV/atom
Volume ... 274.2 Å³ per cell

=====

Record 8
The following is a PBE calculation of crystalline Cu3P2 at its relaxed geometry, from Alexandria via LeMat-Bulk.

Cell and atoms, written as POSCAR:
```
Cu3P2
1.0
1.9510 -3.3793 0.0000
1.9510 3.3793 0.0000
0.0000 0.0000 5.4004
P Cu
2 3
direct
0.6667 0.3333 0.2333
0.3333 0.6667 0.7667
0.6667 0.3333 0.6648
0.3333 0.6667 0.3352
0.0000 0.0000 0.0000
```

ΔH_f (0 K) ... 97 meV/atom
Electronic total energy ... -4.525 eV/atom
Volume ... 71.2 Å³ per cell

=====

What did the third record say?
The following is a PBE calculation of crystalline CuP at its relaxed geometry, from Alexandria via LeMat-Bulk.

Cell and atoms, written as POSCAR:
```
CuP
1.0
2.8367 0.0000 0.0000
0.0000 2.8472 0.0000
0.0000 0.0000 7.2548
Cu P
2 2
direct
0.0000 0.5000 0.2877
0.5000 0.0000 0.7877
0.0000 0.0000 0.5373
0.5000 0.5000 0.0373
```

ΔH_f (0 K) ... 127 meV/atom
Electronic total energy ... -4.626 eV/atom
Volume ... 58.6 Å³ per cell